A plane-wave DFT calculation with GGA-PBEsol was carried out for TlMoCl after structural relaxation.

The structure belongs to space group I4mm (No. 107); the cell edges are 2.951, 2.951 and 14.114 Å and the angles 90.00°, 90.00° and 90.00°. The inequivalent atoms are Tl at (0.000, 0.000, 0.000), Mo at (0.000, 0.000, 0.333) and Cl at (0.000, 0.000, 0.737).

The total magnetization comes out at 0.000 μB per atom. The formation energy (no corrections) comes out at 0.305 eV/atom.


A plane-wave DFT calculation with GGA-PBEsol was carried out for Zn3HRh after structural relaxation.

The structure belongs to space group Pm-3m (No. 221); the cell edges are 3.819, 3.819 and 3.819 Å and the angles 90.00°, 90.00° and 90.00°. The inequivalent atoms are Zn at (0.000, 0.000, 0.500), H at (0.000, 0.000, 0.000) and Rh at (0.500, 0.500, 0.500).

The total magnetization comes out at 0.000 μB per atom. The total energy comes out at -3.31 eV/atom.


A plane-wave DFT calculation with GGA-PBEsol was carried out for Zr3SnW after structural relaxation.

The structure belongs to space group Pm-3m (No. 221); the cell edges are 5.094, 5.094 and 5.094 Å and the angles 90.00°, 90.00° and 90.00°. The inequivalent atoms are Zr at (0.000, 0.000, 0.500), Sn at (0.000, 0.000, 0.000) and W at (0.500, 0.500, 0.500).

The total magnetization comes out at 0.000 μB per atom. For the formation energy, the calculation gives 1.626 eV per atom.